# 1
# BeVFe3 | Alexandria via LeMat-Bulk | GGA-PBE | optimized geometry
# Energy relative to the lowest polymorph listed for this composition = 884 meV per atom
# Energy of formation = 1289 meV per atom
data_BeVFe3
_space_group_name_H-M_alt 'P m -3 m'
_space_group_IT_number 221
_space_group_name_Hall '-P 4 2 3'
_cell_length_a 4.198
_cell_length_b 4.198
_cell_length_c 4.198
_cell_angle_alpha 90.00
_cell_angle_beta 90.00
_cell_angle_gamma 90.00
loop_
_atom_site_label
_atom_site_fract_x
_atom_site_fract_y
_atom_site_fract_z
_atom_site_occupancy
Be1 0.000 0.000 0.000 1
V1 0.500 0.500 0.500 1
Fe1 0.000 0.500 0.500 1

***

# 2
# Fe2AgIr | Alexandria via LeMat-Bulk | GGA-PBE | optimized geometry
# Energy of formation = 257 meV per atom
data_Fe2AgIr
_space_group_name_H-M_alt 'I 4/m m m'
_space_group_IT_number 139
_space_group_name_Hall '-I 4 2'
_cell_length_a 3.954
_cell_length_b 3.954
_cell_length_c 7.289
_cell_angle_alpha 90.00
_cell_angle_beta 90.00
_cell_angle_gamma 90.00
loop_
_atom_site_label
_atom_site_fract_x
_atom_site_fract_y
_atom_site_fract_z
_atom_site_occupancy
Fe1 0.000 0.500 0.250 1
Ag1 0.000 0.000 0.000 1
Ir1 0.000 0.000 0.500 1

***

# 3
# DyTm4Tc2 | Alexandria via LeMat-Bulk | GGA-PBE | optimized geometry
# Energy of formation = -74 meV per atom
data_DyTm4Tc2
_space_group_name_H-M_alt 'P 1 21/m 1'
_space_group_IT_number 11
_cell_length_a 7.725
_cell_length_b 6.211
_cell_length_c 7.845
_cell_angle_alpha 90.00
_cell_angle_beta 111.89
_cell_angle_gamma 90.00
loop_
_space_group_symop_operation_xyz
'x,y,z'
'-x,-y,-z'
'-x,y+1/2,-z'
'x,-y+1/2,z'
loop_
_atom_site_label
_atom_site_fract_x
_atom_site_fract_y
_atom_site_fract_z
_atom_site_occupancy
Dy1 0.025 0.250 0.157 1
Tm1 0.239 0.501 0.583 1
Tm2 0.327 0.750 0.252 1
Tm3 0.388 0.250 0.025 1
Tc1 0.033 0.250 0.754 1
Tc2 0.423 0.250 0.382 1

***

> Which formula does entry 1 have?

BeVFe3

***

> Look up the energy of formation of the first one.

1289 meV per atom

***

> The lowest energy of formation belongs to which entry?

DyTm4Tc2

***

> Look up the energy of formation of the third one.

-74 meV per atom